(1)
OsF12: optimized geometry, PBE-GGA.

Output
**Total moment**: 4.193 μB per formula unit
**Calculated total energy**: -0.214 Ry/atom

Unit cell a=5.9257 b=5.9256 c=5.9256 alpha=109.47 beta=109.47 gamma=109.47
With the nearest neighbours (Å) after each atom.
Positions (direct):
Os1 0.0000 0.0000 0.0000  12 F 2.09
F1 0.7384 0.5799 0.8415  1 Os 2.09, 5 F 2.17-2.21
F2 0.7384 0.8969 0.1585  1 Os 2.09, 5 F 2.17-2.21
F3 0.2616 0.1031 0.8415  1 Os 2.09, 5 F 2.17-2.21
F4 0.2616 0.4201 0.1585  1 Os 2.09, 5 F 2.17-2.21
F5 0.5799 0.8415 0.7384  1 Os 2.09, 5 F 2.17-2.21
F6 0.8969 0.1585 0.7384  1 Os 2.09, 5 F 2.17-2.21
F7 0.1031 0.8415 0.2616  1 Os 2.09, 5 F 2.17-2.21
F8 0.4201 0.1585 0.2616  1 Os 2.09, 5 F 2.17-2.21
F9 0.8415 0.7384 0.5799  1 Os 2.09, 5 F 2.17-2.21
F10 0.1585 0.7384 0.8969  1 Os 2.09, 5 F 2.17-2.21
F11 0.8415 0.2616 0.1031  1 Os 2.09, 5 F 2.17-2.21
F12 0.1585 0.2616 0.4201  1 Os 2.09, 5 F 2.17-2.21

=====

(2)
AcLa4Ru: optimized geometry, PBE-GGA.

Output
**Energy of formation**: -0.12 eV per atom
**Total moment**: 0.000 μB per formula unit
**Calculated total energy**: -0.415 Ry/atom

Unit cell a=6.8870 b=7.5917 c=9.4139 alpha=105.59 beta=111.45 gamma=90.01
With the nearest neighbours (Å) after each atom.
Positions (direct):
Ac1 0.9288 0.7499 0.0001  10 La 3.84-4.14, 2 Ac 3.92
Ac2 0.0712 0.2501 0.9999  10 La 3.84-4.14, 2 Ac 3.92
La1 0.4899 0.0189 0.8007  1 Ru 2.82
La2 0.6889 0.4812 0.1993  1 Ru 2.82
La3 0.5101 0.9811 0.1993  1 Ru 2.82
La4 0.3111 0.5188 0.8007  1 Ru 2.82
La5 0.8922 0.8571 0.6084  2 Ru 2.83-2.85
La6 0.2838 0.6428 0.3914  2 Ru 2.83-2.85
La7 0.1078 0.1429 0.3916  2 Ru 2.83-2.85
La8 0.7162 0.3572 0.6086  2 Ru 2.83-2.85
Ru1 0.5000 0.0000 0.5000  6 La 2.82-2.85
Ru2 0.0000 0.5000 0.5000  6 La 2.82-2.85

=====

(3)
PmAl2Ge: optimized geometry, PBE-GGA.

Output
**Energy of formation**: -0.41 eV per atom
**Total moment**: 0.000 μB per formula unit
**Calculated total energy**: -0.340 Ry/atom

Unit cell a=4.4899 b=4.2882 c=4.2882 alpha=90.00 beta=90.00 gamma=90.00
With the nearest neighbours (Å) after each atom.
Positions (direct):
Ge1 0.5000 0.0000 0.0000  4 Pm 3.03, 8 Al 3.10
Al1 0.0000 0.0000 0.5000  4 Al 3.03, 4 Pm 3.10, 4 Ge 3.10
Al2 0.0000 0.5000 0.0000  4 Al 3.03, 4 Pm 3.10, 4 Ge 3.10
Pm1 0.5000 0.5000 0.5000  4 Ge 3.03, 8 Al 3.10

=====

(4)
MgVOs: optimized geometry, PBE-GGA.

Output
**Energy of formation**: -0.03 eV per atom
**Total moment**: 0.617 μB per formula unit
**Calculated total energy**: -0.540 Ry/atom

Unit cell a=3.1052 b=3.1052 c=5.3016 alpha=107.03 beta=107.03 gamma=90.00
With the nearest neighbours (Å) after each atom.
Positions (direct):
Mg1 0.0033 0.0033 0.0065  5 Os 2.82-3.06, 5 V 2.88-2.97, 4 Mg 3.11
Os1 0.6860 0.6860 0.3720  4 V 2.50
V1 0.3107 0.3107 0.6215  4 Os 2.50

=====

(5)
LiCeMgIn: optimized geometry, PBE-GGA.

Output
**Energy of formation**: -0.18 eV per atom
**Total moment**: 1.141 μB per formula unit
**Calculated total energy**: -0.237 Ry/atom

Unit cell a=5.1609 b=5.1609 c=5.1610 alpha=120.00 beta=120.00 gamma=90.00
With the nearest neighbours (Å) after each atom.
Positions (direct):
Li1 0.0000 0.0000 0.0000  4 Mg 3.16, 4 Ce 3.16
Ce1 0.7500 0.2500 0.5000  4 Li 3.16, 4 In 3.16
Mg1 0.2500 0.7500 0.5000  4 Li 3.16, 4 In 3.16
In1 0.5000 0.5000 0.0000  4 Mg 3.16, 4 Ce 3.16

=====

(6)
Sr2Si2Pb: optimized geometry, PBE-GGA.

Output
**Total moment**: 0.000 μB per formula unit
**Calculated total energy**: -0.260 Ry/atom

Unit cell a=5.2228 b=5.2228 c=6.9028 alpha=67.77 beta=67.77 gamma=90.00
With the nearest neighbours (Å) after each atom.
Positions (direct):
Pb1 0.0000 0.0000 0.0000  8 Si 3.86, 8 Sr 3.91
Sr1 0.7500 0.2500 0.5000  4 Si 3.17
Sr2 0.2500 0.7500 0.5000  4 Si 3.17
Si1 0.4044 0.4044 0.1911  1 Si 2.23
Si2 0.5956 0.5956 0.8089  1 Si 2.23

=====

(7)
IBr2O6: optimized geometry, PBE-GGA.

Output
**Total moment**: 0.000 μB per formula unit
**Calculated total energy**: -0.265 Ry/atom

Unit cell a=6.1021 b=6.6767 c=5.5485 alpha=126.80 beta=103.92 gamma=90.87
With the nearest neighbours (Å) after each atom.
Positions (direct):
I1 0.0000 0.0000 0.0000  6 O 1.97-2.20
Br1 0.8139 0.3326 0.6699  1 O 1.77
Br2 0.1861 0.6674 0.3301  1 O 1.77
O1 0.7975 0.6594 0.7241  1 I 1.97, 1 Br 2.02
O2 0.7423 0.1248 0.2528  1 Br 1.77
O3 0.2020 0.9429 0.2799  1 I 1.97, 1 Br 2.02
O4 0.7980 0.0571 0.7201  1 I 1.97, 1 Br 2.02
O5 0.2577 0.8752 0.7472  1 Br 1.77
O6 0.2025 0.3406 0.2759  1 I 1.97, 1 Br 2.02

=====

(8)
LaPb2W: optimized geometry, PBE-GGA.

Output
**Energy of formation**: 0.53 eV per atom
**Total moment**: 2.008 μB per formula unit
**Calculated total energy**: -0.426 Ry/atom

Unit cell a=4.7683 b=4.6831 c=4.6831 alpha=90.00 beta=90.00 gamma=90.00
With the nearest neighbours (Å) after each atom.
Positions (direct):
La1 0.5000 0.0000 0.5000  4 W 3.31, 8 Pb 3.34
Pb1 0.0000 0.0000 0.0000  4 Pb 3.31, 4 La 3.34, 4 W 3.34
Pb2 0.0000 0.5000 0.5000  4 Pb 3.31, 4 W 3.34, 4 La 3.34
W1 0.5000 0.5000 0.0000  4 La 3.31, 8 Pb 3.34